First-principles (PBE-GGA) data for an optimized crystal structure of Nd3HoTm3Te8, as listed in Alexandria.

Lattice parameters (Å, degrees): 8.734 8.735 8.798 119.77 90.00 120.00
Element x y z (fractional)
Te: 0.253 0.989 0.742
Te: 0.747 0.495 0.258
Te: 0.255 0.510 0.266
Te: 0.253 0.505 0.742
Te: 0.263 0.011 0.258
Te: 0.737 0.989 0.742
Te: 0.745 0.490 0.734
Te: 0.747 0.011 0.258
Tm: 0.500 0.500 0.500
Tm: 0.000 0.500 0.500
Tm: 0.500 0.000 0.500
Nd: 0.000 0.000 0.000
Nd: 0.500 0.500 0.000
Nd: 0.000 0.500 0.000
Ho: 0.000 0.000 0.500

Output
Total magnetic moment   0.000 μB per formula unit
Crystal system   trigonal
Space group   R-3m (166)
Uncorrected formation energy   -1.369 eV per atom

---

First-principles (PBE-GGA) data for an optimized crystal structure of LaTlRe, as listed in Alexandria.

Lattice parameters (Å, degrees): 3.554 5.218 17.126 90.00 90.06 90.00
Element x y z (fractional)
Tl: 0.660 0.000 0.308
Tl: 0.660 0.500 0.808
Tl: 0.657 0.000 0.127
Tl: 0.657 0.500 0.627
Re: 0.155 0.500 0.954
Re: 0.656 0.000 0.551
Re: 0.656 0.500 0.051
Re: 0.155 0.000 0.454
La: 0.654 0.000 0.936
La: 0.654 0.500 0.436
La: 0.157 0.500 0.211
La: 0.157 0.000 0.711

Output
Total magnetic moment   0.000 μB per formula unit
Crystal system   monoclinic
Formation energy from the elements   184 meV per atom
Space group   Cm (8)

---

First-principles (PBE-GGA) data for an optimized crystal structure of TlCr2Cd, as listed in Alexandria.

Lattice parameters (Å, degrees): 5.445 5.445 5.445 134.68 134.68 66.02
Site moments in Bohr magnetons follow the coordinates.
Element x y z (fractional)
Cd: 0.750 0.250 0.500  -0.01
Tl: 0.500 0.500 0.000  -0.06
Cr: 0.000 0.000 0.000  3.67
Cr: 0.250 0.750 0.500  3.74

Output
Total magnetic moment   8.197 μB per formula unit
Crystal system   tetragonal
Formation energy from the elements   679 meV per atom
Space group   I-4m2 (119)